No. 1
# GGA-PBE Ca3H6Ir, relaxed
data_Ca3H6Ir
_chemical_formula_sum 'Ca6 H12 Ir2'
_cell_length_a 5.109
_cell_length_b 7.133
_cell_length_c 7.133
_cell_angle_alpha 106.59
_cell_angle_beta 90.00
_cell_angle_gamma 90.00
_space_group_name_H-M_alt 'P 1'
_space_group_IT_number 1
_space_group_name_Hall 'P 1'
loop_
_atom_site_label
_atom_site_type_symbol
_atom_site_fract_x
_atom_site_fract_y
_atom_site_fract_z
H1 H 0.247 0.351 0.340
H2 H 0.723 0.934 0.066
H3 H 0.521 0.621 0.980
H4 H 0.021 0.980 0.621
H5 H 0.521 0.020 0.379
H6 H 0.223 0.066 0.934
H7 H 0.708 0.235 0.765
H8 H 0.747 0.340 0.351
H9 H 0.208 0.765 0.235
H10 H 0.747 0.649 0.660
H11 H 0.247 0.660 0.649
H12 H 0.021 0.379 0.020
Ca1 Ca 0.010 0.083 0.324
Ca2 Ca 0.981 0.606 0.394
Ca3 Ca 0.481 0.394 0.606
Ca4 Ca 0.510 0.324 0.083
Ca5 Ca 0.510 0.917 0.676
Ca6 Ca 0.010 0.676 0.917
Ir1 Ir 0.019 0.182 0.818
Ir2 Ir 0.519 0.818 0.182
# raw total energy	-4.016	eV/atom
# total magnetic moment	0.000	μB per cell
# space-group type	No. 36


No. 2
# GGA-PBE CaH5Ir, relaxed
data_CaH5Ir
_chemical_formula_sum 'Ca2 H10 Ir2'
_cell_length_a 5.587
_cell_length_b 5.587
_cell_length_c 6.348
_cell_angle_alpha 55.40
_cell_angle_beta 55.40
_cell_angle_gamma 71.89
_space_group_name_H-M_alt 'P 1'
_space_group_IT_number 1
_space_group_name_Hall 'P 1'
loop_
_atom_site_label
_atom_site_type_symbol
_atom_site_fract_x
_atom_site_fract_y
_atom_site_fract_z
H1 H 0.001 0.999 0.739
H2 H 0.709 0.211 0.039
H3 H 0.711 0.209 0.539
H4 H 0.291 0.789 0.961
H5 H 0.151 0.349 0.750
H6 H 0.999 0.001 0.261
H7 H 0.289 0.791 0.461
H8 H 0.499 0.501 0.239
H9 H 0.849 0.651 0.250
H10 H 0.501 0.499 0.761
Ca1 Ca 0.214 0.286 0.250
Ca2 Ca 0.786 0.714 0.750
Ir1 Ir 0.500 0.500 0.500
Ir2 Ir 0.000 0.000 0.000
# raw total energy	-4.245	eV/atom
# total magnetic moment	0.000	μB per cell
# space-group type	No. 15


No. 3
# GGA-PBE CaHIr3, relaxed
data_CaHIr3
_chemical_formula_sum 'Ca1 H1 Ir3'
_cell_length_a 4.907
_cell_length_b 4.907
_cell_length_c 4.907
_cell_angle_alpha 90.00
_cell_angle_beta 90.00
_cell_angle_gamma 90.00
_space_group_name_H-M_alt 'P 1'
_space_group_IT_number 1
_space_group_name_Hall 'P 1'
loop_
_atom_site_label
_atom_site_type_symbol
_atom_site_fract_x
_atom_site_fract_y
_atom_site_fract_z
H1 H 0.500 0.500 0.500
Ir1 Ir 0.500 0.000 0.000
Ir2 Ir 0.000 0.000 0.500
Ir3 Ir 0.000 0.500 0.000
Ca1 Ca 0.000 0.000 0.000
# raw total energy	-3.393	eV/atom
# ΔE to the lowest computed polymorph	2938	meV per atom
# total magnetic moment	3.925	μB per cell
# space-group type	No. 221


No. 4
# GGA-PBE CaH2Ir, relaxed
data_CaH2Ir
_chemical_formula_sum 'Ca1 H2 Ir1'
_cell_length_a 4.034
_cell_length_b 4.034
_cell_length_c 4.034
_cell_angle_alpha 60.00
_cell_angle_beta 60.00
_cell_angle_gamma 60.00
_space_group_name_H-M_alt 'P 1'
_space_group_IT_number 1
_space_group_name_Hall 'P 1'
loop_
_atom_site_label
_atom_site_type_symbol
_atom_site_fract_x
_atom_site_fract_y
_atom_site_fract_z
H1 H 0.750 0.750 0.750
H2 H 0.250 0.250 0.250
Ca1 Ca 0.000 0.000 0.000
Ir1 Ir 0.500 0.500 0.500
# raw total energy	-4.047	eV/atom
# ΔE to the lowest computed polymorph	612	meV per atom
# total magnetic moment	0.000	μB per cell
# space-group type	No. 225


No. 5
# GGA-PBE Ca2H4Ir, relaxed
data_Ca2H4Ir
_chemical_formula_sum 'Ca2 H4 Ir1'
_cell_length_a 3.619
_cell_length_b 3.619
_cell_length_c 7.611
_cell_angle_alpha 76.25
_cell_angle_beta 76.25
_cell_angle_gamma 90.00
_space_group_name_H-M_alt 'P 1'
_space_group_IT_number 1
_space_group_name_Hall 'P 1'
loop_
_atom_site_label
_atom_site_type_symbol
_atom_site_fract_x
_atom_site_fract_y
_atom_site_fract_z
Ir1 Ir 0.000 0.000 0.000
H1 H 0.120 0.120 0.760
H2 H 0.000 0.500 0.000
H3 H 0.500 0.000 0.000
H4 H 0.880 0.880 0.240
Ca1 Ca 0.632 0.632 0.735
Ca2 Ca 0.368 0.368 0.265
# raw total energy	-4.209	eV/atom
# ΔE to the lowest computed polymorph	85	meV per atom
# total magnetic moment	0.000	μB per cell
# space-group type	No. 139


No. 6
# GGA-PBE CaHIr, relaxed
data_CaHIr
_chemical_formula_sum 'Ca2 H2 Ir2'
_cell_length_a 3.045
_cell_length_b 6.116
_cell_length_c 4.965
_cell_angle_alpha 75.82
_cell_angle_beta 90.00
_cell_angle_gamma 90.10
_space_group_name_H-M_alt 'P 1'
_space_group_IT_number 1
_space_group_name_Hall 'P 1'
loop_
_atom_site_label
_atom_site_type_symbol
_atom_site_fract_x
_atom_site_fract_y
_atom_site_fract_z
H1 H 0.249 0.654 0.215
H2 H 0.751 0.346 0.785
Ca1 Ca 0.751 0.295 0.319
Ca2 Ca 0.249 0.705 0.681
Ir1 Ir 0.749 0.828 0.135
Ir2 Ir 0.251 0.172 0.865
# raw total energy	-5.068	eV/atom
# total magnetic moment	0.000	μB per cell
# space-group type	No. 2


No. 7
# GGA-PBE Ca3H9Ir2, relaxed
data_Ca3H9Ir2
_chemical_formula_sum 'Ca6 H18 Ir4'
_cell_length_a 5.014
_cell_length_b 5.014
_cell_length_c 13.892
_cell_angle_alpha 90.00
_cell_angle_beta 90.00
_cell_angle_gamma 120.00
_space_group_name_H-M_alt 'P 1'
_space_group_IT_number 1
_space_group_name_Hall 'P 1'
loop_
_atom_site_label
_atom_site_type_symbol
_atom_site_fract_x
_atom_site_fract_y
_atom_site_fract_z
H1 H 0.831 0.661 0.417
H2 H 0.045 0.523 0.750
H3 H 0.339 0.169 0.083
H4 H 0.523 0.045 0.250
H5 H 0.169 0.831 0.917
H6 H 0.169 0.339 0.583
H7 H 0.661 0.831 0.583
H8 H 0.339 0.169 0.417
H9 H 0.955 0.477 0.250
H10 H 0.477 0.523 0.750
H11 H 0.831 0.169 0.083
H12 H 0.169 0.831 0.583
H13 H 0.477 0.955 0.750
H14 H 0.523 0.477 0.250
H15 H 0.169 0.339 0.917
H16 H 0.661 0.831 0.917
H17 H 0.831 0.169 0.417
H18 H 0.831 0.661 0.083
Ca1 Ca 0.667 0.333 0.925
Ca2 Ca 0.333 0.667 0.425
Ca3 Ca 0.667 0.333 0.575
Ca4 Ca 0.000 0.000 0.750
Ca5 Ca 0.333 0.667 0.075
Ca6 Ca 0.000 0.000 0.250
Ir1 Ir 0.333 0.667 0.649
Ir2 Ir 0.667 0.333 0.149
Ir3 Ir 0.667 0.333 0.351
Ir4 Ir 0.333 0.667 0.851
# raw total energy	-4.363	eV/atom
# total magnetic moment	0.000	μB per cell
# space-group type	No. 194


No. 8
# GGA-PBE Ca2H4Ir, relaxed
data_Ca2H4Ir
_chemical_formula_sum 'Ca4 H8 Ir2'
_cell_length_a 4.898
_cell_length_b 5.385
_cell_length_c 7.380
_cell_angle_alpha 90.00
_cell_angle_beta 90.01
_cell_angle_gamma 90.00
_space_group_name_H-M_alt 'P 1'
_space_group_IT_number 1
_space_group_name_Hall 'P 1'
loop_
_atom_site_label
_atom_site_type_symbol
_atom_site_fract_x
_atom_site_fract_y
_atom_site_fract_z
H1 H 0.261 0.750 0.020
H2 H 0.739 0.250 0.980
H3 H 0.367 0.451 0.250
H4 H 0.633 0.951 0.750
H5 H 0.739 0.250 0.520
H6 H 0.633 0.549 0.750
H7 H 0.261 0.750 0.480
H8 H 0.367 0.049 0.250
Ca1 Ca 0.237 0.250 0.507
Ca2 Ca 0.237 0.250 0.993
Ca3 Ca 0.763 0.750 0.493
Ca4 Ca 0.763 0.750 0.007
Ir1 Ir 0.727 0.250 0.750
Ir2 Ir 0.273 0.750 0.250
# raw total energy	-4.294	eV/atom
# ΔE to the lowest computed polymorph	0	meV per atom
# total magnetic moment	0.000	μB per cell
# space-group type	No. 59


Copy entry 3 word for word.
# GGA-PBE CaHIr3, relaxed
data_CaHIr3
_chemical_formula_sum 'Ca1 H1 Ir3'
_cell_length_a 4.907
_cell_length_b 4.907
_cell_length_c 4.907
_cell_angle_alpha 90.00
_cell_angle_beta 90.00
_cell_angle_gamma 90.00
_space_group_name_H-M_alt 'P 1'
_space_group_IT_number 1
_space_group_name_Hall 'P 1'
loop_
_atom_site_label
_atom_site_type_symbol
_atom_site_fract_x
_atom_site_fract_y
_atom_site_fract_z
H1 H 0.500 0.500 0.500
Ir1 Ir 0.500 0.000 0.000
Ir2 Ir 0.000 0.000 0.500
Ir3 Ir 0.000 0.500 0.000
Ca1 Ca 0.000 0.000 0.000
# raw total energy	-3.393	eV/atom
# ΔE to the lowest computed polymorph	2938	meV per atom
# total magnetic moment	3.925	μB per cell
# space-group type	No. 221


Repeat the fifth record exactly.
# GGA-PBE Ca2H4Ir, relaxed
data_Ca2H4Ir
_chemical_formula_sum 'Ca2 H4 Ir1'
_cell_length_a 3.619
_cell_length_b 3.619
_cell_length_c 7.611
_cell_angle_alpha 76.25
_cell_angle_beta 76.25
_cell_angle_gamma 90.00
_space_group_name_H-M_alt 'P 1'
_space_group_IT_number 1
_space_group_name_Hall 'P 1'
loop_
_atom_site_label
_atom_site_type_symbol
_atom_site_fract_x
_atom_site_fract_y
_atom_site_fract_z
Ir1 Ir 0.000 0.000 0.000
H1 H 0.120 0.120 0.760
H2 H 0.000 0.500 0.000
H3 H 0.500 0.000 0.000
H4 H 0.880 0.880 0.240
Ca1 Ca 0.632 0.632 0.735
Ca2 Ca 0.368 0.368 0.265
# raw total energy	-4.209	eV/atom
# ΔE to the lowest computed polymorph	85	meV per atom
# total magnetic moment	0.000	μB per cell
# space-group type	No. 139